Record 1
Computed, not measured: Ca3Pu3ZrN8 after structural relaxation at the PBE level of DFT.

Cell: 6.905 6.905 6.905 Å, 59.40 59.40 59.40°
Atoms (fractional coordinates):
Ca 0.000 0.500 0.500
Ca 0.500 0.000 0.500
Ca 0.500 0.500 0.000
Pu 0.000 0.000 0.500
Pu 0.000 0.500 0.000
Pu 0.500 0.000 0.000
Zr 0.500 0.500 0.500
N 0.238 0.729 0.729
N 0.240 0.240 0.240
N 0.271 0.271 0.762
N 0.271 0.762 0.271
N 0.729 0.238 0.729
N 0.729 0.729 0.238
N 0.760 0.760 0.760
N 0.762 0.271 0.271

Summary:
As for the calculated volume: 230 Å³/f.u. For the uncorrected formation energy, the calculation gives -109.7 kJ/mol of atoms. The value obtained for the total DFT energy (no corrections) is -9.414 eV per atom.

Record 2
Computed, not measured: YGaBr after structural relaxation at the PBE level of DFT.

Cell: 4.116 4.116 12.011 Å, 99.55 99.55 60.02°
Atoms (fractional coordinates):
Y 0.000 0.000 0.000
Y 0.543 0.543 0.618
Ga 0.263 0.263 0.782
Ga 0.622 0.622 0.862
Br 0.382 0.382 0.152
Br 0.829 0.829 0.471

Summary:
As for the calculated volume: 86 Å³/f.u. For the uncorrected formation energy, the calculation gives -109.6 kJ/mol of atoms. The value obtained for the total DFT energy (no corrections) is -4.858 eV per atom.

Record 3
Computed, not measured: HoHfHg after structural relaxation at the PBE level of DFT.

Cell: 6.794 6.794 6.794 Å, 151.20 151.20 41.18°
Atoms (fractional coordinates):
Ho 0.000 0.000 0.000
Hf 0.326 0.326 0.000
Hg 0.675 0.675 0.000

Summary:
The formation energy from the elements comes out at -0.162 eV per atom. As for the calculated volume: 73 Å³/f.u. The value obtained for the total DFT energy (no corrections) is -5.106 eV per atom.

Record 4
Computed, not measured: LiSm after structural relaxation at the PBE level of DFT.

Cell: 3.786 3.786 3.786 Å, 90.00 90.00 90.00°
Atoms (fractional coordinates):
Li 0.000 0.000 0.000
Sm 0.500 0.500 0.500

Summary:
The formation energy from the elements comes out at 0.155 eV per atom. As for the calculated volume: 54 Å³/f.u. The value obtained for the total DFT energy (no corrections) is -3.162 eV per atom.

Record 5
Computed, not measured: Ac2PrTaO8 after structural relaxation at the PBE level of DFT.

Cell: 4.386 7.390 5.684 Å, 90.00 92.45 90.00°
Atoms (fractional coordinates):
Ac 0.000 0.247 0.000
Ac 0.000 0.753 0.000
Pr 0.500 0.500 0.500
Ta 0.500 0.000 0.500
O 0.023 0.500 0.253
O 0.056 0.000 0.378
O 0.470 0.202 0.736
O 0.470 0.798 0.736
O 0.530 0.202 0.264
O 0.530 0.798 0.264
O 0.944 0.000 0.622
O 0.977 0.500 0.747

Summary:
As for the calculated volume: 184 Å³/f.u. For the uncorrected formation energy, the calculation gives -275.6 kJ/mol of atoms. The value obtained for the total DFT energy (no corrections) is -8.233 eV per atom.

Record 6
Computed, not measured: Bi3SbBr after structural relaxation at the PBE level of DFT.

Cell: 5.684 5.684 5.684 Å, 90.00 90.00 90.00°
Atoms (fractional coordinates):
Bi 0.000 0.000 0.500
Bi 0.000 0.500 0.000
Bi 0.500 0.000 0.000
Sb 0.500 0.500 0.500
Br 0.000 0.000 0.000

Summary:
As for the calculated volume: 184 Å³/f.u. For the uncorrected formation energy, the calculation gives 78.7 kJ/mol of atoms. The value obtained for the total DFT energy (no corrections) is -2.672 eV per atom.

Record 7
Computed, not measured: Ba2Al5Ag5 after structural relaxation at the PBE level of DFT.

Cell: 4.489 5.733 10.354 Å, 90.00 90.00 90.00°
Atoms (fractional coordinates):
Ba 0.000 0.000 0.000
Ba 0.000 0.500 0.500
Al 0.500 0.000 0.500
Al 0.500 0.249 0.254
Al 0.500 0.249 0.746
Al 0.500 0.751 0.254
Al 0.500 0.751 0.746
Ag 0.000 0.000 0.327
Ag 0.000 0.000 0.673
Ag 0.000 0.500 0.181
Ag 0.000 0.500 0.819
Ag 0.500 0.500 0.000

Summary:
The formation energy from the elements comes out at -0.226 eV per atom. As for the calculated volume: 266 Å³/f.u. The value obtained for the total DFT energy (no corrections) is -3.294 eV per atom.

Record 8
Computed, not measured: Ac2TePbO8 after structural relaxation at the PBE level of DFT.

Cell: 5.204 5.210 7.283 Å, 90.84 90.86 93.54°
Atoms (fractional coordinates):
Ac 0.045 0.044 0.260
Ac 0.955 0.956 0.740
Te 0.500 0.500 0.500
Pb 0.500 0.500 0.000
O 0.214 0.215 0.971
O 0.233 0.234 0.540
O 0.290 0.635 0.293
O 0.365 0.711 0.707
O 0.635 0.289 0.293
O 0.710 0.365 0.707
O 0.767 0.766 0.460
O 0.786 0.785 0.029

Summary:
As for the calculated volume: 197 Å³/f.u. For the uncorrected formation energy, the calculation gives -186.6 kJ/mol of atoms. The value obtained for the total DFT energy (no corrections) is -6.495 eV per atom.

- Which of these has the highest total DFT energy (no corrections)?
  Bi3SbBr

Repeat the fifth record exactly.
Computed, not measured: Ac2PrTaO8 after structural relaxation at the PBE level of DFT.

Cell: 4.386 7.390 5.684 Å, 90.00 92.45 90.00°
Atoms (fractional coordinates):
Ac 0.000 0.247 0.000
Ac 0.000 0.753 0.000
Pr 0.500 0.500 0.500
Ta 0.500 0.000 0.500
O 0.023 0.500 0.253
O 0.056 0.000 0.378
O 0.470 0.202 0.736
O 0.470 0.798 0.736
O 0.530 0.202 0.264
O 0.530 0.798 0.264
O 0.944 0.000 0.622
O 0.977 0.500 0.747

Summary:
As for the calculated volume: 184 Å³/f.u. For the uncorrected formation energy, the calculation gives -275.6 kJ/mol of atoms. The value obtained for the total DFT energy (no corrections) is -8.233 eV per atom.

- Which of these has the lowest total DFT energy (no corrections)?
  Ca3Pu3ZrN8